## w
Computed, not measured: a relaxed structure of La4Tb5Sm2 at the PBE level of DFT.

a b c (Å): 3.542 9.380 12.580
angles (deg): 111.89 98.09 90.00
Positions (direct):
Tb: 0.147 0.952 0.294
Tb: 0.853 0.658 0.706
Tb: 0.147 0.342 0.294
Tb: 0.853 0.048 0.706
Tb: 0.500 0.000 0.000
Sm: 0.271 0.271 0.543
Sm: 0.729 0.729 0.457
La: 0.000 0.711 0.000
La: 0.406 0.406 0.812
La: 0.594 0.594 0.188
La: 0.000 0.289 0.000

Density of states at the Fermi level, states/eV per atom: 1.391
Crystal system: orthorhombic
Total magnetic moment, μB per atom: 0.000

---

## x
Computed, not measured: a relaxed structure of La4Tb5Sm2 at the PBE level of DFT.

a b c (Å): 3.566 11.840 9.129
angles (deg): 94.45 101.26 90.00
Positions (direct):
Sm: 0.715 0.356 0.430
Sm: 0.285 0.644 0.570
La: 0.037 0.261 0.074
La: 0.963 0.739 0.926
La: 0.359 0.203 0.718
La: 0.641 0.797 0.282
Tb: 0.822 0.930 0.644
Tb: 0.500 0.000 0.000
Tb: 0.178 0.070 0.356
Tb: 0.903 0.460 0.807
Tb: 0.097 0.540 0.193

Density of states at the Fermi level, states/eV per atom: 1.546
Crystal system: monoclinic
Total magnetic moment, μB per atom: 0.000

---

The structure with the least stability is w.

---

## w
Computed, not measured: a relaxed structure of LaTb2Sm7 at the PBE level of DFT.

a b c (Å): 6.285 8.115 9.623
angles (deg): 120.59 89.88 121.15
Positions (direct):
Sm: 0.298 0.698 0.798
Sm: 0.702 0.302 0.202
Sm: 0.797 0.199 0.798
Sm: 0.203 0.801 0.202
Sm: 0.500 0.500 0.000
Sm: 0.099 0.899 0.599
Sm: 0.901 0.101 0.401
Tb: 0.402 0.601 0.401
Tb: 0.598 0.399 0.599
La: 0.000 0.000 0.000

Density of states at the Fermi level, states/eV per atom: 1.433
Crystal system: triclinic
Total magnetic moment, μB per atom: 0.000

---

## x
Computed, not measured: a relaxed structure of LaTb2Sm7 at the PBE level of DFT.

a b c (Å): 5.731 9.237 9.237
angles (deg): 122.47 90.00 90.00
Positions (direct):
La: 0.000 0.000 0.000
Tb: 0.500 0.297 0.703
Tb: 0.500 0.703 0.297
Sm: 0.500 0.500 0.500
Sm: 0.000 0.774 0.226
Sm: 0.500 0.938 0.705
Sm: 0.000 0.226 0.774
Sm: 0.500 0.062 0.295
Sm: 0.500 0.705 0.938
Sm: 0.500 0.295 0.062

Density of states at the Fermi level, states/eV per atom: 1.385
Crystal system: orthorhombic
Total magnetic moment, μB per atom: 0.000

---

The structure with the least stability is x.

---

## w
Computed, not measured: a relaxed structure of La4Tb3Sm4 at the PBE level of DFT.

a b c (Å): 5.806 6.735 10.851
angles (deg): 90.00 90.00 115.53
Positions (direct):
La: 0.760 0.520 0.798
La: 0.760 0.520 0.202
La: 0.883 0.766 0.500
La: 0.956 0.913 0.000
Sm: 0.106 0.212 0.696
Sm: 0.106 0.212 0.304
Sm: 0.547 0.093 0.000
Sm: 0.608 0.215 0.500
Tb: 0.411 0.821 0.290
Tb: 0.252 0.504 0.000
Tb: 0.411 0.821 0.710

Density of states at the Fermi level, states/eV per atom: 1.744
Crystal system: orthorhombic
Total magnetic moment, μB per atom: 0.000

---

## x
Computed, not measured: a relaxed structure of La4Tb3Sm4 at the PBE level of DFT.

a b c (Å): 3.662 9.633 12.202
angles (deg): 113.25 98.63 90.00
Positions (direct):
Sm: 0.500 0.812 0.000
Sm: 0.500 0.188 0.000
Sm: 0.734 0.234 0.468
Sm: 0.266 0.766 0.532
La: 0.355 0.524 0.710
La: 0.355 0.186 0.710
La: 0.645 0.814 0.290
La: 0.645 0.476 0.290
Tb: 0.000 0.500 0.000
Tb: 0.104 0.104 0.207
Tb: 0.896 0.896 0.793

Density of states at the Fermi level, states/eV per atom: 1.458
Crystal system: orthorhombic
Total magnetic moment, μB per atom: 0.000

---

The structure with the least stability is w.

---

## w
Computed, not measured: a relaxed structure of La6TbSm4 at the PBE level of DFT.

a b c (Å): 7.034 7.034 9.498
angles (deg): 111.73 111.73 90.00
Positions (direct):
La: 0.000 0.500 0.000
La: 0.491 0.872 0.363
La: 0.509 0.509 0.637
La: 0.128 0.128 0.637
La: 0.872 0.491 0.363
La: 0.500 0.000 0.000
Tb: 0.500 0.500 0.000
Sm: 0.275 0.275 0.209
Sm: 0.065 0.725 0.791
Sm: 0.725 0.065 0.791
Sm: 0.935 0.935 0.209

Density of states at the Fermi level, states/eV per atom: 1.639
Crystal system: tetragonal
Total magnetic moment, μB per atom: 0.000

---

## x
Computed, not measured: a relaxed structure of La6TbSm4 at the PBE level of DFT.

a b c (Å): 6.013 5.781 26.296
angles (deg): 90.00 90.00 121.33
Positions (direct):
Sm: 0.852 0.704 0.955
Sm: 0.552 0.105 0.624
Sm: 0.148 0.296 0.045
Sm: 0.448 0.895 0.376
Sm: 0.148 0.296 0.455
Sm: 0.852 0.704 0.545
Sm: 0.552 0.105 0.876
Sm: 0.448 0.895 0.124
La: 0.115 0.230 0.317
La: 0.115 0.230 0.183
La: 0.500 0.000 0.000
La: 0.885 0.770 0.817
La: 0.560 0.121 0.750
La: 0.440 0.879 0.250
La: 0.500 0.000 0.500
La: 0.794 0.588 0.398
La: 0.794 0.588 0.102
La: 0.206 0.412 0.602
La: 0.885 0.770 0.683
La: 0.206 0.412 0.898
Tb: 0.219 0.438 0.750
Tb: 0.781 0.562 0.250

Density of states at the Fermi level, states/eV per atom: 1.632
Crystal system: orthorhombic
Total magnetic moment, μB per atom: 0.000

---

The structure with the least stability is w.

---

## w
Computed, not measured: a relaxed structure of La3Tb2Sm at the PBE level of DFT.

a b c (Å): 3.505 6.033 10.522
angles (deg): 106.66 99.59 90.00
Positions (direct):
La: 0.811 0.811 0.622
La: 0.189 0.189 0.378
La: 0.000 0.500 0.000
Sm: 0.000 0.000 0.000
Tb: 0.363 0.363 0.727
Tb: 0.637 0.637 0.273

Density of states at the Fermi level, states/eV per atom: 1.764
Crystal system: orthorhombic
Total magnetic moment, μB per atom: 0.000

---

## x
Computed, not measured: a relaxed structure of La3Tb2Sm at the PBE level of DFT.

a b c (Å): 11.212 8.939 8.940
angles (deg): 46.32 51.16 51.16
Positions (direct):
Tb: 0.053 0.701 0.701
Tb: 0.544 0.201 0.201
Tb: 0.947 0.299 0.299
Tb: 0.456 0.799 0.799
La: 0.764 0.986 0.486
La: 0.236 0.014 0.514
La: 0.500 0.750 0.250
La: 0.500 0.250 0.750
La: 0.764 0.486 0.986
La: 0.236 0.514 0.014
Sm: 0.000 0.500 0.500
Sm: 0.000 0.000 0.000

Density of states at the Fermi level, states/eV per atom: 1.793
Crystal system: orthorhombic
Total magnetic moment, μB per atom: 0.000

---

The structure with the least stability is x.